No. 1
The following is a GGA-PBE calculation of NaSi2Ni2 after structural relaxation, from Alexandria.

Crystal system ... tetragonal
Formation energy from raw total energies ... -0.26 eV per atom
Relative energy among the computed polymorphs ... 38 meV/atom
Symmetry ... No. 127

Unit cell a=7.188 b=7.188 c=2.523 alpha=90.00 beta=90.00 gamma=90.00
Positions (direct):
Na1 0.000 0.000 0.000
Na2 0.500 0.500 0.000
Si1 0.150 0.350 0.500
Si2 0.350 0.850 0.500
Si3 0.650 0.150 0.500
Si4 0.850 0.650 0.500
Ni1 0.141 0.641 0.000
Ni2 0.359 0.141 0.000
Ni3 0.641 0.859 0.000
Ni4 0.859 0.359 0.000



No. 2
The following is a GGA-PBE calculation of NaSi3Ni after structural relaxation, from Alexandria.

Crystal system ... cubic
Formation energy from raw total energies ... 0.35 eV per atom
Relative energy among the computed polymorphs ... 0 meV/atom
Symmetry ... No. 221

Unit cell a=4.518 b=4.518 c=4.518 alpha=90.00 beta=90.00 gamma=90.00
Positions (direct):
Na1 0.000 0.000 0.000
Si1 0.000 0.500 0.500
Si2 0.500 0.000 0.500
Si3 0.500 0.500 0.000
Ni1 0.500 0.500 0.500



No. 3
The following is a GGA-PBE calculation of Na2SiNi2 after structural relaxation, from Alexandria.

Crystal system ... tetragonal
Formation energy from raw total energies ... 0.47 eV per atom
Relative energy among the computed polymorphs ... 466 meV/atom
Symmetry ... No. 139

Unit cell a=9.888 b=9.888 c=9.888 alpha=161.53 beta=161.53 gamma=26.24
Positions (direct):
Na1 0.115 0.115 0.000
Na2 0.885 0.885 0.000
Si1 0.500 0.500 0.000
Ni1 0.250 0.750 0.500
Ni2 0.750 0.250 0.500



No. 4
The following is a GGA-PBE calculation of Na2SiNi2 after structural relaxation, from Alexandria.

Crystal system ... tetragonal
Formation energy from raw total energies ... 0.00 eV per atom
Relative energy among the computed polymorphs ... 0 meV/atom
Symmetry ... No. 127

Unit cell a=5.831 b=5.831 c=4.967 alpha=90.00 beta=90.00 gamma=90.00
Positions (direct):
Na1 0.178 0.322 0.000
Na2 0.322 0.822 0.000
Na3 0.678 0.178 0.000
Na4 0.822 0.678 0.000
Si1 0.000 0.000 0.500
Si2 0.500 0.500 0.500
Ni1 0.145 0.645 0.500
Ni2 0.355 0.145 0.500
Ni3 0.645 0.855 0.500
Ni4 0.855 0.355 0.500